Entry from the Alexandria database: an optimized crystal structure of SrAcRhCl (PBE).

Cell lengths 4.2473, 4.2473, 24.1184 Å; angles 90.00, 90.00, 120.00 degrees
Space group R3m (No. 160, hexagonal axes)
Symmetry-distinct sites (fractional):
Sr1 0.0000 0.0000 0.0000 [3 per cell]
Ac1 0.0000 0.0000 0.1934 [3 per cell]
Rh1 0.0000 0.0000 0.5885 [3 per cell]
Cl1 0.0000 0.0000 0.7589 [3 per cell]

Raw formation energy in eV/atom: -1.126
Density of states at the Fermi level in states/eV per cell: 7.3